This record from Alexandria via LeMat-Bulk describes crystalline K2CaFeRe at its relaxed geometry. The functional is GGA-PBE.

abc: 6.5742 6.5742 5.1661
angles: 90.00 90.00 90.00
Closest atoms and distances in Å follow each position.
Fractional coordinates of all 5 atoms:
K (0.0000, 0.5000, 0.0000)  2 Ca 3.29
K (0.5000, 0.0000, 0.0000)  2 Ca 3.29
Ca (0.0000, 0.0000, 0.0000)  2 Re 2.58
Fe (0.5000, 0.5000, 0.5000)  8 K 4.18, 4 Re 4.65
Re (0.0000, 0.0000, 0.5000)  2 Ca 2.58

Computed properties:
Crystal system   tetragonal
Spin magnetization   5.61 μB/cell
Energy   -2.926 eV per atom
Energy of formation   202.2 kJ/mol of atoms

This record from Alexandria via LeMat-Bulk describes crystalline KCa2TaFe at its relaxed geometry. The functional is GGA-PBE.

abc: 6.0467 6.0467 4.5331
angles: 90.00 90.00 90.00
Closest atoms and distances in Å follow each position.
Fractional coordinates of all 5 atoms:
K (0.0000, 0.0000, 0.0000)  8 Ca 3.78
Ca (0.0000, 0.5000, 0.5000)  2 Ta 3.02
Ca (0.5000, 0.0000, 0.5000)  2 Ta 3.02
Ta (0.5000, 0.5000, 0.5000)  2 Fe 2.27
Fe (0.5000, 0.5000, 0.0000)  2 Ta 2.27

Computed properties:
Crystal system   tetragonal
Spin magnetization   1.15 μB/cell
Energy   -4.189 eV per atom
Energy of formation   86.3 kJ/mol of atoms

This record from Alexandria via LeMat-Bulk describes crystalline KCaFe2Tc at its relaxed geometry. The functional is GGA-PBE.

abc: 4.3802 4.3802 4.8410
angles: 90.00 90.00 90.00
Closest atoms and distances in Å follow each position.
Fractional coordinates of all 5 atoms:
K (0.0000, 0.0000, 0.0000)  4 Fe 2.19, 2 Ca 2.42
Ca (0.0000, 0.0000, 0.5000)  2 K 2.42
Fe (0.0000, 0.5000, 0.0000)  2 K 2.19
Fe (0.5000, 0.0000, 0.0000)  2 K 2.19
Tc (0.5000, 0.5000, 0.5000)  4 Ca 3.10, 8 Fe 3.26

Computed properties:
Crystal system   tetragonal
Spin magnetization   2.16 μB/cell
Energy   -3.534 eV per atom
Energy of formation   245.5 kJ/mol of atoms

This record from Alexandria via LeMat-Bulk describes crystalline KCa2TiFe at its relaxed geometry. The functional is GGA-PBE.

abc: 5.8793 5.8793 6.0140
angles: 90.00 90.00 90.00
Closest atoms and distances in Å follow each position.
Fractional coordinates of all 5 atoms:
K (0.0000, 0.0000, 0.0000)  2 Ti 3.01
Ca (0.0000, 0.5000, 0.5000)  2 Ti 2.94
Ca (0.5000, 0.0000, 0.5000)  2 Ti 2.94
Ti (0.0000, 0.0000, 0.5000)  4 Ca 2.94, 2 K 3.01
Fe (0.5000, 0.5000, 0.0000)  4 K 4.16, 8 Ca 4.21

Computed properties:
Crystal system   tetragonal
Spin magnetization   7.32 μB/cell
Energy   -2.806 eV per atom
Energy of formation   143.3 kJ/mol of atoms

This record from Alexandria via LeMat-Bulk describes crystalline KCaV2Fe at its relaxed geometry. The functional is GGA-PBE.

abc: 4.5143 4.5143 4.6223
angles: 90.00 90.00 90.00
Closest atoms and distances in Å follow each position.
Fractional coordinates of all 5 atoms:
K (0.0000, 0.0000, 0.0000)  4 V 2.26, 2 Fe 2.31
Ca (0.5000, 0.5000, 0.5000)  4 Fe 3.19, 8 V 3.23
V (0.0000, 0.5000, 0.0000)  2 K 2.26
V (0.5000, 0.0000, 0.0000)  2 K 2.26
Fe (0.0000, 0.0000, 0.5000)  2 K 2.31

Computed properties:
Crystal system   tetragonal
Spin magnetization   0.01 μB/cell
Energy   -3.543 eV per atom
Energy of formation   233.2 kJ/mol of atoms

This record from Alexandria via LeMat-Bulk describes crystalline KCaZr2Fe at its relaxed geometry. The functional is GGA-PBE.

abc: 4.9099 4.9099 5.8793
angles: 90.00 90.00 90.00
Closest atoms and distances in Å follow each position.
Fractional coordinates of all 5 atoms:
K (0.0000, 0.0000, 0.0000)  4 Ca 3.47, 8 Zr 3.83
Ca (0.5000, 0.5000, 0.0000)  2 Fe 2.94
Zr (0.0000, 0.5000, 0.5000)  2 Fe 2.45
Zr (0.5000, 0.0000, 0.5000)  2 Fe 2.45
Fe (0.5000, 0.5000, 0.5000)  4 Zr 2.45

Computed properties:
Crystal system   tetragonal
Spin magnetization   0.00 μB/cell
Energy   -5.246 eV per atom
Energy of formation   46.9 kJ/mol of atoms

This record from Alexandria via LeMat-Bulk describes crystalline CaLa2Fe2 at its relaxed geometry. The functional is GGA-PBE.

abc: 7.8929 7.8929 4.2538
angles: 90.00 90.00 90.00
Closest atoms and distances in Å follow each position.
Fractional coordinates of all 10 atoms:
Ca (0.0000, 0.0000, 0.0000)  4 Fe 3.25, 8 La 3.62
Ca (0.5000, 0.5000, 0.0000)  4 Fe 3.25, 8 La 3.62
La (0.1684, 0.3316, 0.5000)  6 Fe 3.05-3.35
La (0.3316, 0.8316, 0.5000)  6 Fe 3.05-3.35
La (0.6684, 0.1684, 0.5000)  6 Fe 3.05-3.35
La (0.8316, 0.6684, 0.5000)  6 Fe 3.05-3.35
Fe (0.1000, 0.6000, 0.0000)  1 Fe 2.23
Fe (0.4000, 0.1000, 0.0000)  1 Fe 2.23
Fe (0.6000, 0.9000, 0.0000)  1 Fe 2.23
Fe (0.9000, 0.4000, 0.0000)  1 Fe 2.23

Computed properties:
Crystal system   tetragonal
Spin magnetization   7.18 μB/cell
Energy   -5.555 eV per atom
Energy of formation   19.4 kJ/mol of atoms

This record from Alexandria via LeMat-Bulk describes crystalline CaLaFe2 at its relaxed geometry. The functional is GGA-PBE.

abc: 3.3422 3.3422 8.4061
angles: 90.00 90.00 90.00
Closest atoms and distances in Å follow each position.
Fractional coordinates of all 4 atoms:
Ca (0.0000, 0.0000, 0.0000)  5 Fe 2.92-3.15
La (0.5000, 0.5000, 0.5955)  5 Fe 2.92-3.15
Fe (0.0000, 0.0000, 0.3476)  4 Fe 2.51
Fe (0.5000, 0.5000, 0.2480)  4 Fe 2.51

Computed properties:
Crystal system   tetragonal
Spin magnetization   4.78 μB/cell
Energy   -5.694 eV per atom
Energy of formation   26.0 kJ/mol of atoms

This record from Alexandria via LeMat-Bulk describes crystalline Ca4LaFe at its relaxed geometry. The functional is GGA-PBE.

abc: 6.8210 6.8210 6.8210
angles: 60.00 60.00 60.00
Closest atoms and distances in Å follow each position.
Fractional coordinates of all 6 atoms:
Ca (0.1246, 0.1246, 0.1246)  6 Ca 3.40-3.42
Ca (0.1246, 0.1246, 0.6263)  6 Ca 3.40-3.42
Ca (0.1246, 0.6263, 0.1246)  6 Ca 3.40-3.42
Ca (0.6263, 0.1246, 0.1246)  6 Ca 3.40-3.42
La (0.5000, 0.5000, 0.5000)  12 Ca 4.00, 4 Fe 4.18
Fe (0.7500, 0.7500, 0.7500)  12 Ca 4.00, 4 La 4.18

Computed properties:
Crystal system   cubic
Spin magnetization   2.62 μB/cell
Energy   -2.840 eV per atom
Energy of formation   70.1 kJ/mol of atoms

This record from Alexandria via LeMat-Bulk describes crystalline CaLaFe at its relaxed geometry. The functional is GGA-PBE.

abc: 4.0794 4.0794 6.0185
angles: 90.00 90.00 120.00
Closest atoms and distances in Å follow each position.
Fractional coordinates of all 3 atoms:
Ca (0.0000, 0.0000, 0.0000)  3 Fe 3.08
La (0.3333, 0.6667, 0.4540)  3 Fe 2.47
Fe (0.6667, 0.3333, 0.3291)  3 La 2.47

Computed properties:
Crystal system   trigonal
Spin magnetization   0.00 μB/cell
Energy   -4.734 eV per atom
Energy of formation   38.2 kJ/mol of atoms
Distance to the lowest polymorph of the same formula   116 meV per atom

This record from Alexandria via LeMat-Bulk describes crystalline CaLa2Fe at its relaxed geometry. The functional is GGA-PBE.

abc: 3.6088 3.6088 9.1859
angles: 90.00 90.00 90.00
Closest atoms and distances in Å follow each position.
Fractional coordinates of all 4 atoms:
Ca (0.0000, 0.0000, 0.0000)  4 Fe 3.20, 1 La 3.37
La (0.0000, 0.0000, 0.3669)  4 Fe 2.93
La (0.5000, 0.5000, 0.6669)  8 La 3.61-3.76, 4 Ca 3.98
Fe (0.5000, 0.5000, 0.2095)  4 La 2.93, 4 Ca 3.20

Computed properties:
Crystal system   tetragonal
Spin magnetization   1.72 μB/cell
Energy   -4.824 eV per atom
Energy of formation   24.7 kJ/mol of atoms
Distance to the lowest polymorph of the same formula   122 meV per atom

This record from Alexandria via LeMat-Bulk describes crystalline CaLaFe2 at its relaxed geometry. The functional is GGA-PBE.

abc: 4.7700 4.7700 4.7700
angles: 66.16 66.16 66.16
Closest atoms and distances in Å follow each position.
Fractional coordinates of all 4 atoms:
Ca (0.0000, 0.0000, 0.0000)  4 Fe 2.89-3.11, 4 La 3.05-3.20
La (0.2876, 0.2876, 0.2876)  1 Fe 2.78, 3 Ca 3.05
Fe (0.5379, 0.5379, 0.5379)  1 Fe 2.24
Fe (0.7399, 0.7399, 0.7399)  1 Fe 2.24

Computed properties:
Crystal system   trigonal
Spin magnetization   4.29 μB/cell
Energy   -5.437 eV per atom
Energy of formation   50.8 kJ/mol of atoms

This record from Alexandria via LeMat-Bulk describes crystalline CaLaFe2 at its relaxed geometry. The functional is GGA-PBE.

abc: 6.2087 6.2087 6.2087
angles: 103.77 103.77 121.60
Closest atoms and distances in Å follow each position.
Fractional coordinates of all 8 atoms:
Ca (0.0000, 0.0000, 0.0000)  4 Fe 2.85, 2 La 3.03
Ca (0.7500, 0.2500, 0.5000)  4 Fe 2.85, 2 La 3.03
La (0.2500, 0.7500, 0.5000)  4 Fe 2.78, 2 Ca 3.03
La (0.5000, 0.5000, 0.0000)  4 Fe 2.78, 2 Ca 3.03
Fe (0.1319, 0.1250, 0.5069)  2 La 2.78, 2 Ca 2.85, 2 Fe 3.03
Fe (0.3750, 0.8681, 0.9931)  2 La 2.78, 2 Ca 2.85, 2 Fe 3.03
Fe (0.6181, 0.6250, 0.4931)  2 La 2.78, 2 Ca 2.85, 2 Fe 3.03
Fe (0.8750, 0.3819, 0.0069)  2 La 2.78, 2 Ca 2.85, 2 Fe 3.03

Computed properties:
Crystal system   tetragonal
Spin magnetization   6.64 μB/cell
Energy   -5.201 eV per atom
Energy of formation   73.6 kJ/mol of atoms

This record from Alexandria via LeMat-Bulk describes crystalline CaLa2Fe at its relaxed geometry. The functional is GGA-PBE.

abc: 9.7604 9.7604 9.7604
angles: 23.71 23.71 23.71
Closest atoms and distances in Å follow each position.
Fractional coordinates of all 4 atoms:
Ca (0.0000, 0.0000, 0.0000)  6 La 3.96-4.04, 6 Ca 4.01
La (0.5505, 0.5505, 0.5505)  3 Fe 2.76
La (0.7797, 0.7797, 0.7797)  3 Fe 2.73
Fe (0.1642, 0.1642, 0.1642)  6 La 2.73-2.76

Computed properties:
Crystal system   trigonal
Spin magnetization   0.00 μB/cell
Energy   -4.946 eV per atom
Energy of formation   12.9 kJ/mol of atoms
Distance to the lowest polymorph of the same formula   0 meV per atom

This record from Alexandria via LeMat-Bulk describes crystalline CaLa2Fe at its relaxed geometry. The functional is GGA-PBE.

abc: 9.9044 9.9044 9.9044
angles: 23.25 23.25 23.25
Closest atoms and distances in Å follow each position.
Fractional coordinates of all 4 atoms:
Ca (0.0000, 0.0000, 0.0000)  6 Ca 3.99, 6 La 4.04
La (0.2185, 0.2185, 0.2185)  3 Fe 2.75
La (0.7815, 0.7815, 0.7815)  3 Fe 2.75
Fe (0.5000, 0.5000, 0.5000)  6 La 2.75

Computed properties:
Crystal system   trigonal
Spin magnetization   0.00 μB/cell
Energy   -4.937 eV per atom
Energy of formation   13.7 kJ/mol of atoms
Distance to the lowest polymorph of the same formula   8 meV per atom

This record from Alexandria via LeMat-Bulk describes crystalline CaLaFe2 at its relaxed geometry. The functional is GGA-PBE.

abc: 5.6564 5.6564 5.6564
angles: 135.99 135.99 64.00
Closest atoms and distances in Å follow each position.
Fractional coordinates of all 4 atoms:
Ca (0.0000, 0.0000, 0.0000)  8 Fe 3.00-3.20, 4 La 3.20
La (0.7500, 0.2500, 0.5000)  8 Fe 3.00-3.20, 4 Ca 3.20
Fe (0.2500, 0.7500, 0.5000)  4 La 3.00, 4 Fe 3.20, 4 Ca 3.20
Fe (0.5000, 0.5000, 0.0000)  4 Ca 3.00, 4 La 3.20, 4 Fe 3.20

Computed properties:
Crystal system   tetragonal
Spin magnetization   4.01 μB/cell
Energy   -5.382 eV per atom
Energy of formation   56.1 kJ/mol of atoms

This record from Alexandria via LeMat-Bulk describes crystalline CaLaFe2 at its relaxed geometry. The functional is GGA-PBE.

abc: 6.2840 6.2840 6.2840
angles: 147.16 136.93 55.21
Closest atoms and distances in Å follow each position.
Fractional coordinates of all 4 atoms:
Ca (0.0000, 0.0000, 0.0000)  6 Fe 3.06-3.36, 2 La 3.40
La (0.7246, 0.2246, 0.5000)  6 Fe 2.98-3.13
Fe (0.2807, 0.7807, 0.5000)  2 Fe 2.32
Fe (0.4142, 0.4142, 0.0000)  2 Fe 2.32

Computed properties:
Crystal system   orthorhombic
Spin magnetization   3.68 μB/cell
Energy   -5.693 eV per atom
Energy of formation   26.1 kJ/mol of atoms

This record from Alexandria via LeMat-Bulk describes crystalline CaLa2Fe at its relaxed geometry. The functional is GGA-PBE.

abc: 6.2963 6.2963 6.6450
angles: 118.89 118.89 34.68
Closest atoms and distances in Å follow each position.
Fractional coordinates of all 4 atoms:
Ca (0.0000, 0.0000, 0.0000)  3 Fe 3.20-3.38
La (0.6512, 0.6512, 0.6737)  2 Fe 2.65
La (0.8215, 0.8215, 0.2981)  2 Fe 2.58
Fe (0.2647, 0.2647, 0.9953)  4 La 2.58-2.65

Computed properties:
Crystal system   monoclinic
Spin magnetization   0.00 μB/cell
Energy   -4.912 eV per atom
Energy of formation   16.2 kJ/mol of atoms
Distance to the lowest polymorph of the same formula   34 meV per atom

This record from Alexandria via LeMat-Bulk describes crystalline CaLa2Fe at its relaxed geometry. The functional is GGA-PBE.

abc: 3.5981 3.5981 9.8090
angles: 90.00 90.00 98.63
Closest atoms and distances in Å follow each position.
Fractional coordinates of all 4 atoms:
Ca (0.0000, 0.0000, 0.0000)  4 Ca 3.60, 4 La 4.00
La (0.5000, 0.5000, 0.3303)  4 Fe 2.88-3.20
La (0.5000, 0.5000, 0.6697)  4 Fe 2.88-3.20
Fe (0.0000, 0.0000, 0.5000)  8 La 2.88-3.20

Computed properties:
Crystal system   orthorhombic
Spin magnetization   1.23 μB/cell
Energy   -4.943 eV per atom
Energy of formation   13.2 kJ/mol of atoms
Distance to the lowest polymorph of the same formula   3 meV per atom

This record from Alexandria via LeMat-Bulk describes crystalline Ca2La4Fe at its relaxed geometry. The functional is GGA-PBE.

abc: 10.1333 10.1333 10.1333
angles: 149.02 149.02 44.37
Closest atoms and distances in Å follow each position.
Fractional coordinates of all 7 atoms:
Ca (0.1616, 0.1616, 0.0000)  9 La 3.71-4.06
Ca (0.8384, 0.8384, 0.0000)  9 La 3.71-4.06
La (0.0000, 0.5000, 0.5000)  2 Fe 2.71
La (0.3592, 0.3592, 0.0000)  1 Fe 2.64
La (0.5000, 0.0000, 0.5000)  2 Fe 2.71
La (0.6408, 0.6408, 0.0000)  1 Fe 2.64
Fe (0.5000, 0.5000, 0.0000)  6 La 2.64-2.71

Computed properties:
Crystal system   tetragonal
Spin magnetization   0.00 μB/cell
Energy   -4.409 eV per atom
Energy of formation   18.1 kJ/mol of atoms